No. 1
{"formula": "TmIn2Pb", "functional": "PBE-GGA", "state": "optimized geometry", "e_form_ev_per_atom": -0.27, "magnetic_moment_mub_per_cell": 0.000, "dos_at_fermi_per_ev_fu": 1.62, "volume_a3_per_atom": 25.9, "cell": [[-2.235, 2.235, 5.180], [2.235, -2.235, 5.180], [2.235, 2.235, -5.180]], "species": ["Tm", "In", "In", "Pb"], "fractional_positions": [[0.000, 0.000, 0.000], [0.250, 0.750, 0.500], [0.750, 0.250, 0.500], [0.500, 0.500, 0.000]]}



No. 2
{"formula": "Ca3Zn9Si2", "functional": "PBE-GGA", "state": "optimized geometry", "magnetic_moment_mub_per_cell": 0.000, "dos_at_fermi_per_ev_fu": 6.40, "volume_a3_per_atom": 18.6, "raw_formation_energy_ev_per_atom": -0.22, "cell": [[-2.143, 4.907, 6.202], [2.143, -4.907, 6.202], [2.143, 4.907, -6.202]], "species": ["Ca", "Ca", "Ca", "Zn", "Zn", "Zn", "Zn", "Zn", "Zn", "Zn", "Zn", "Zn", "Si", "Si"], "fractional_positions": [[0.000, 0.000, 0.000], [0.312, 0.312, 0.000], [0.688, 0.688, 0.000], [0.032, 0.665, 0.367], [0.148, 0.868, 0.280], [0.297, 0.665, 0.633], [0.412, 0.132, 0.280], [0.500, 0.000, 0.500], [0.588, 0.868, 0.720], [0.703, 0.335, 0.367], [0.852, 0.132, 0.720], [0.968, 0.335, 0.633], [0.287, 0.500, 0.787], [0.713, 0.500, 0.213]]}



No. 3
{"formula": "ZrCrOs2", "functional": "PBE-GGA", "state": "optimized geometry", "e_form_ev_per_atom": 0.08, "magnetic_moment_mub_per_cell": 0.000, "dos_at_fermi_per_ev_fu": 3.56, "volume_a3_per_atom": 15.6, "cell": [[2.818, 0.000, 0.000], [0.000, 4.192, 0.000], [-1.301, 0.000, 5.288]], "species": ["Zr", "Cr", "Os", "Os"], "fractional_positions": [[0.000, 0.000, 0.000], [0.500, 0.000, 0.500], [0.324, 0.500, 0.717], [0.676, 0.500, 0.283]]}